# Ac3La2PrY6

Ac3La2PrY6 after structural relaxation (PBE, the Alexandria database).

CIF file:
```
data_Ac3La2PrY6
_cell_length_a 6.492
_cell_length_b 11.241
_cell_length_c 12.052
_cell_angle_alpha 90.00
_cell_angle_beta 100.34
_cell_angle_gamma 90.00
_symmetry_space_group_name_H-M 'C 1 2/m 1'
_symmetry_Int_Tables_number 12
loop_
_symmetry_equiv_pos_as_xyz
'x,y,z'
'-x,-y,-z'
'-x,y,-z'
'x,-y,z'
'x+1/2,y+1/2,z'
'-x+1/2,-y+1/2,-z'
'-x+1/2,y+1/2,-z'
'x+1/2,-y+1/2,z'
loop_
_atom_site_label
_atom_site_type_symbol
_atom_site_fract_x
_atom_site_fract_y
_atom_site_fract_z
Ac1 Ac 0.000 0.000 0.000
Ac2 Ac 0.000 0.333 0.000
La1 La 0.000 0.166 0.500
Pr1 Pr 0.000 0.500 0.500
Y1 Y 0.248 0.334 0.746
Y2 Y 0.249 0.000 0.746
```

Values from the calculation:
calculated density	6.3	g/cm³
energy of formation	0.028	eV per atom

# MnCr2Ni

MnCr2Ni after structural relaxation (PBE, the Alexandria database).

CIF file:
```
data_MnCr2Ni
_cell_length_a 2.941
_cell_length_b 2.941
_cell_length_c 5.627
_cell_angle_alpha 90.00
_cell_angle_beta 90.00
_cell_angle_gamma 90.00
_symmetry_space_group_name_H-M 'P 4/m m m'
_symmetry_Int_Tables_number 123
_symmetry_space_group_name_Hall '-P 4 2'
loop_
_atom_site_label
_atom_site_type_symbol
_atom_site_fract_x
_atom_site_fract_y
_atom_site_fract_z
Mn1 Mn 0.000 0.000 0.000
Cr1 Cr 0.500 0.500 0.248
Ni1 Ni 0.000 0.000 0.500
```

Values from the calculation:
calculated density	7.4	g/cm³
energy of formation	0.148	eV per atom

# Mn3WC

Mn3WC after structural relaxation (PBE, the Alexandria database).

CIF file:
```
data_Mn3WC
_cell_length_a 4.623
_cell_length_b 4.623
_cell_length_c 4.623
_cell_angle_alpha 90.00
_cell_angle_beta 90.00
_cell_angle_gamma 90.00
_symmetry_space_group_name_H-M 'P m -3 m'
_symmetry_Int_Tables_number 221
_symmetry_space_group_name_Hall '-P 4 2 3'
loop_
_atom_site_label
_atom_site_type_symbol
_atom_site_fract_x
_atom_site_fract_y
_atom_site_fract_z
Mn1 Mn 0.000 0.000 0.500
W1 W 0.000 0.000 0.000
C1 C 0.500 0.500 0.500
```

Values from the calculation:
calculated density	6.1	g/cm³
energy of formation	2.583	eV per atom
offset from the most stable computed form	2.587	eV/atom

What is the formula in the first record?
Ac3La2PrY6

Copy entry 2 word for word.
# MnCr2Ni

MnCr2Ni after structural relaxation (PBE, the Alexandria database).

CIF file:
```
data_MnCr2Ni
_cell_length_a 2.941
_cell_length_b 2.941
_cell_length_c 5.627
_cell_angle_alpha 90.00
_cell_angle_beta 90.00
_cell_angle_gamma 90.00
_symmetry_space_group_name_H-M 'P 4/m m m'
_symmetry_Int_Tables_number 123
_symmetry_space_group_name_Hall '-P 4 2'
loop_
_atom_site_label
_atom_site_type_symbol
_atom_site_fract_x
_atom_site_fract_y
_atom_site_fract_z
Mn1 Mn 0.000 0.000 0.000
Cr1 Cr 0.500 0.500 0.248
Ni1 Ni 0.000 0.000 0.500
```

Values from the calculation:
calculated density	7.4	g/cm³
energy of formation	0.148	eV per atom